No. 1
# Ce2ErCoHg

A relaxed Ce2ErCoHg crystal (PBE-GGA, Alexandria).

energy relative to the elements = -19 kJ per mole of atoms

a = 4.921 Å, b = 4.921 Å, c = 5.435 Å
α = 90.00°, β = 90.00°, γ = 90.00°
Space group P4/mmm (No. 123)
Unique sites:
Ce1 0.000 0.500 0.000 (multiplicity 2)
Er1 0.000 0.000 0.500 (multiplicity 1)
Co1 0.000 0.000 0.000 (multiplicity 1)
Hg1 0.500 0.500 0.500 (multiplicity 1)

---

No. 2
# CeErCoI

A relaxed CeErCoI crystal (PBE-GGA, Alexandria).

a = 3.9485 Å, b = 3.9485 Å, c = 23.7249 Å
α = 90.00°, β = 90.00°, γ = 120.00°
Space group R3m (No. 160, hexagonal axes)
Unique sites:
Ce1 0.0000 0.0000 0.0000 (multiplicity 3)
Er1 0.0000 0.0000 0.2152 (multiplicity 3)
Co1 0.0000 0.0000 0.6129 (multiplicity 3)
I1 0.0000 0.0000 0.4436 (multiplicity 3)

---

No. 3
# CeErMnCo

A relaxed CeErMnCo crystal (PBE-GGA, Alexandria).

energy relative to the elements = 5 kJ per mole of atoms

a = 6.802 Å, b = 6.802 Å, c = 6.802 Å
α = 90.00°, β = 90.00°, γ = 90.00°
Space group F-43m (No. 216)
Unique sites:
Ce1 0.000 0.000 0.000 (multiplicity 4)
Er1 0.000 0.000 0.500 (multiplicity 4)
Mn1 0.250 0.250 0.250 (multiplicity 4)
Co1 0.250 0.250 0.750 (multiplicity 4)

---

No. 4
# CeEr2CoN4

A relaxed CeEr2CoN4 crystal (PBE-GGA, Alexandria).

a = 3.350 Å, b = 11.231 Å, c = 11.410 Å
α = 90.00°, β = 90.00°, γ = 90.00°
Space group Cmcm (No. 63)
Unique sites:
Ce1 0.000 0.108 0.250 (multiplicity 4)
Er1 0.000 0.369 0.050 (multiplicity 8)
Co1 0.000 0.155 0.750 (multiplicity 4)
N1 0.000 0.000 0.000 (multiplicity 4)
N2 0.000 0.272 0.630 (multiplicity 8)
N3 0.000 0.438 0.250 (multiplicity 4)

---

No. 5
# CeErCoPd

A relaxed CeErCoPd crystal (PBE-GGA, Alexandria).

energy relative to the elements = -39 kJ per mole of atoms

a = 6.894 Å, b = 6.894 Å, c = 6.894 Å
α = 90.00°, β = 90.00°, γ = 90.00°
Space group F-43m (No. 216)
Unique sites:
Ce1 0.000 0.000 0.000 (multiplicity 4)
Er1 0.000 0.000 0.500 (multiplicity 4)
Co1 0.250 0.250 0.250 (multiplicity 4)
Pd1 0.250 0.250 0.750 (multiplicity 4)

---

No. 6
# CeErCoRh

A relaxed CeErCoRh crystal (PBE-GGA, Alexandria).

energy relative to the elements = -43 kJ per mole of atoms

a = 6.798 Å, b = 6.798 Å, c = 6.798 Å
α = 90.00°, β = 90.00°, γ = 90.00°
Space group F-43m (No. 216)
Unique sites:
Ce1 0.000 0.000 0.000 (multiplicity 4)
Er1 0.000 0.000 0.500 (multiplicity 4)
Co1 0.250 0.250 0.250 (multiplicity 4)
Rh1 0.250 0.250 0.750 (multiplicity 4)

---

no.,electronic total energy (eV/cell),size of the total moment (μB per formula unit)
1,-24.85,0.5
2,-64.45,0.5
3,-106.18,2.7
4,-259.67,1.6
5,-97.60,0.1
6,-106.90,0.3